First-principles (GGA-PBE) data for an optimized crystal structure of LaPr8Cd2, as listed in Alexandria via LeMat-Bulk.

Formation energy ... -0.08 eV/atom
N(E_F) ... 31.6 states/eV/cell
Energy above the lowest structure with this stoichiometry ... 0.00 kcal/mol of atoms

```
data_LaPr8Cd2
_chemical_formula_sum 'La2 Pr16 Cd4'
_cell_length_a 17.271
_cell_length_b 5.487
_cell_length_c 8.596
_cell_angle_alpha 90.00
_cell_angle_beta 113.97
_cell_angle_gamma 90.00
_space_group_name_H-M_alt 'C 1 2/m 1'
_space_group_IT_number 12
loop_
_space_group_symop_operation_xyz
'x,y,z'
'-x,-y,-z'
'-x,y,-z'
'x,-y,z'
'x+1/2,y+1/2,z'
'-x+1/2,-y+1/2,-z'
'-x+1/2,y+1/2,-z'
'x+1/2,-y+1/2,z'
loop_
_atom_site_label
_atom_site_fract_x
_atom_site_fract_y
_atom_site_fract_z
_atom_site_occupancy
La1 0.000 0.000 0.000 1
Pr1 0.051 0.500 0.738 1
Pr2 0.103 0.000 0.471 1
Pr3 0.151 0.500 0.209 1
Pr4 0.188 0.000 0.957 1
Cd1 0.221 0.500 0.632 1
```